# 1
## Ac2PrDy5 (PBE)

Data for a geometry-optimized Ac2PrDy5 structure. Values from VASP.

Properties
Crystal system: tetragonal
D(E_F), states/eV/cell: 12.245

Geometry as Quantum ESPRESSO input:
```
&SYSTEM
  ibrav = 0, nat = 8, ntyp = 3
/
ATOMIC_SPECIES
Dy 162.50 Dy.upf
Pr 140.91 Pr.upf
Ac 227.00 Ac.upf
ATOMIC_POSITIONS angstrom
Dy -1.499 -0.077 -3.414
Pr 0.000 0.000 0.000
Ac -3.964 2.642 1.680
Dy -1.756 2.808 -1.329
Dy -7.663 2.394 1.273
Dy -5.903 5.571 0.429
Dy -3.516 -0.370 -0.485
Ac -5.455 2.560 -1.737
CELL_PARAMETERS angstrom
0.261 3.101 -4.258
-3.258 -3.254 -2.570
-6.422 5.355 6.772
```

=====

# 2
## Ac3Pr4Dy2 (PBE)

Data for a geometry-optimized Ac3Pr4Dy2 structure. Values from VASP.

Properties
Crystal system: monoclinic
D(E_F), states/eV/cell: 15.848

Geometry as Quantum ESPRESSO input:
```
&SYSTEM
  ibrav = 0, nat = 9, ntyp = 3
/
ATOMIC_SPECIES
Ac 227.00 Ac.upf
Dy 162.50 Dy.upf
Pr 140.91 Pr.upf
ATOMIC_POSITIONS angstrom
Ac 2.677 2.647 5.332
Dy 5.355 4.270 3.234
Ac 0.000 0.000 0.000
Pr 5.353 5.241 10.744
Ac 5.354 4.726 7.021
Pr 2.676 6.821 8.667
Dy 2.676 3.103 9.119
Pr 5.355 0.552 3.686
Pr 2.677 2.132 1.609
CELL_PARAMETERS angstrom
5.356 0.001 0.001
2.677 5.871 1.172
-0.002 1.502 11.180
```

=====

| no. | energy of formation from the pure elements (eV per atom) | M_tot (Bohr magnetons per cell) |
| --- | --- | --- |
| 1 | 0.050 | 0.00 |
| 2 | 0.044 | 0.00 |